Record 1
SrMnCdSn2 | PBE | optimized geometry

Final energy ... -2.65 eV/atom
Total moment ... 3.08 μB/f.u.
Formation energy from the elements ... 6.52 eV/f.u.
Volume ... 32.55 Å³/atom

POSCAR file:
```
SrMnCdSn2
1.0
5.812 0.000 0.000
0.000 5.812 0.000
0.000 0.000 4.818
Sr Mn Cd Sn
1 1 1 2
direct
0.000 0.000 0.000
0.000 0.000 0.500
0.500 0.500 0.500
0.000 0.500 0.000
0.500 0.000 0.000
```

=====

Record 2
Sr2Si4Rh5 | PBE | optimized geometry

Final energy ... -6.48 eV/atom
Formation energy without anion corrections ... -0.863 eV/atom
Total moment ... 0.00 μB/f.u.
Volume ... 18.16 Å³/atom

POSCAR file:
```
Sr2Si4Rh5
1.0
0.000 5.072 6.819
2.887 0.000 6.819
2.887 5.072 0.000
Sr Si Rh
2 4 5
direct
0.132 0.132 0.868
0.868 0.868 0.132
0.212 0.530 0.470
0.470 0.788 0.212
0.530 0.212 0.788
0.788 0.470 0.530
0.000 0.000 0.500
0.250 0.250 0.250
0.500 0.500 0.000
0.500 0.500 0.500
0.750 0.750 0.750
```

=====

Record 3
BaSr2Bi | PBE | optimized geometry

Final energy ... -2.67 eV/atom
Total moment ... 0.94 μB/f.u.
Formation energy from the elements ... -1.50 eV/f.u.
Volume ... 49.99 Å³/atom

POSCAR file:
```
BaSr2Bi
1.0
2.806 1.620 7.330
-2.806 1.620 7.330
0.000 -3.240 7.330
Ba Sr Bi
1 2 1
direct
0.000 0.000 0.000
0.553 0.553 0.553
0.778 0.778 0.778
0.173 0.173 0.173
```

=====

Record 4
Ni4Sn2H | PBE | optimized geometry

Final energy ... -5.08 eV/atom
Total moment ... 0.00 μB/f.u.
Volume ... 12.85 Å³/atom

POSCAR file:
```
Ni4Sn2H
1.0
-1.869 1.869 6.435
1.869 -1.869 6.435
1.869 1.869 -6.435
Ni Sn H
4 2 1
direct
0.000 0.500 0.500
0.136 0.136 0.000
0.500 0.000 0.500
0.864 0.864 0.000
0.339 0.339 0.000
0.661 0.661 0.000
0.000 0.000 0.000
```

=====

Record 5
TbGe2Au3 | PBE | optimized geometry

Final energy ... -4.38 eV/atom
Total moment ... 0.00 μB/f.u.
Formation energy from the elements ... -2.60 eV/f.u.
Volume ... 20.20 Å³/atom

POSCAR file:
```
TbGe2Au3
1.0
8.103 -2.295 0.000
8.103 2.295 0.000
-2.803 0.000 6.516
Tb Ge Au
2 4 6
direct
0.134 0.134 0.192
0.866 0.866 0.808
0.214 0.214 0.682
0.496 0.496 0.179
0.504 0.504 0.821
0.786 0.786 0.318
0.053 0.053 0.728
0.317 0.317 0.062
0.347 0.347 0.502
0.653 0.653 0.498
0.683 0.683 0.938
0.947 0.947 0.272
```

=====

Record 6
KOsPt2 | PBE | optimized geometry

Final energy ... -5.59 eV/atom
Total moment ... 0.00 μB/f.u.
Formation energy from the elements ... 2.05 eV/f.u.
Volume ... 20.86 Å³/atom

POSCAR file:
```
KOsPt2
1.0
2.701 0.000 0.000
0.000 4.174 0.000
0.000 0.000 7.399
K Os Pt
1 1 2
direct
0.000 0.000 0.000
0.500 0.500 0.352
0.000 0.000 0.474
0.500 0.500 0.697
```

=====

Record 7
YbMg16Al12 | PBE | optimized geometry

Final energy ... -2.55 eV/atom
Total moment ... 0.11 μB/f.u.
Formation energy from the elements ... -1.98 eV/f.u.
Volume ... 20.28 Å³/atom

POSCAR file:
```
YbMg16Al12
1.0
7.513 4.338 3.007
-7.513 4.338 3.007
0.000 -8.676 3.007
Yb Mg Al
1 16 12
direct
0.000 0.000 0.000
0.022 0.315 0.628
0.022 0.628 0.315
0.236 0.236 0.906
0.236 0.906 0.236
0.283 0.625 0.625
0.315 0.022 0.628
0.315 0.628 0.022
0.343 0.943 0.943
0.625 0.283 0.625
0.625 0.625 0.283
0.628 0.022 0.315
0.628 0.315 0.022
0.628 0.628 0.628
0.906 0.236 0.236
0.943 0.343 0.943
0.943 0.943 0.343
0.256 0.256 0.440
0.256 0.440 0.256
0.440 0.256 0.256
0.440 0.440 0.801
0.440 0.801 0.440
0.628 0.813 0.993
0.628 0.993 0.813
0.801 0.440 0.440
0.813 0.628 0.993
0.813 0.993 0.628
0.993 0.628 0.813
0.993 0.813 0.628
```

=====

Record 8
Er2Sc2Ru3 | PBE | optimized geometry

Final energy ... -7.45 eV/atom
Total moment ... 0.00 μB/f.u.
Formation energy from the elements ... -2.51 eV/f.u.
Volume ... 20.09 Å³/atom

POSCAR file:
```
Er2Sc2Ru3
1.0
4.792 0.000 0.000
-2.392 4.163 0.000
-0.010 -2.749 7.050
Er Sc Ru
2 2 3
direct
0.119 0.238 0.356
0.881 0.762 0.644
0.372 0.743 0.114
0.628 0.257 0.886
0.250 0.500 0.752
0.500 0.000 0.500
0.750 0.500 0.248
```

=====

Record 9
K2NpAgTe4 | PBE | optimized geometry

Final energy ... -4.34 eV/atom
Formation energy without anion corrections ... -0.521 eV/atom
Total moment ... 1.95 μB/f.u.
Volume ... 33.79 Å³/atom

POSCAR file:
```
K2NpAgTe4
1.0
-4.236 4.236 3.765
4.236 -4.236 3.765
4.236 4.236 -3.765
K Np Ag Te
2 1 1 4
direct
0.000 0.500 0.500
0.500 0.000 0.500
0.000 0.000 0.000
0.500 0.500 0.000
0.077 0.445 0.000
0.445 0.077 0.000
0.555 0.555 0.632
0.923 0.923 0.368
```

=====

Record 10
Pa2AlFe5Si2 | PBE | optimized geometry

Final energy ... -7.92 eV/atom
Formation energy without anion corrections ... -0.329 eV/atom
Total moment ... 0.52 μB/f.u.
Volume ... 14.53 Å³/atom

POSCAR file:
```
Pa2AlFe5Si2
1.0
9.499 0.000 0.000
0.000 9.499 0.000
0.000 0.000 3.222
Pa Al Fe Si
4 2 10 4
direct
0.178 0.322 0.000
0.322 0.822 0.000
0.678 0.178 0.000
0.822 0.678 0.000
0.000 0.000 0.000
0.500 0.500 0.000
0.000 0.500 0.500
0.070 0.785 0.500
0.215 0.070 0.500
0.285 0.570 0.500
0.430 0.285 0.500
0.500 0.000 0.500
0.570 0.715 0.500
0.715 0.430 0.500
0.785 0.930 0.500
0.930 0.215 0.500
0.119 0.619 0.000
0.381 0.119 0.000
0.619 0.881 0.000
0.881 0.381 0.000
```

=====

Record 11
PmSm7Tl2 | PBE | optimized geometry

Final energy ... -3.91 eV/atom
Total moment ... 0.00 μB/f.u.
Formation energy from the elements ... 3.43 eV/f.u.
Volume ... 40.14 Å³/atom

POSCAR file:
```
PmSm7Tl2
1.0
4.663 -7.924 0.000
4.663 7.924 0.000
0.000 0.000 5.433
Pm Sm Tl
1 7 2
direct
0.000 0.000 0.000
0.062 0.302 0.500
0.226 0.774 0.000
0.302 0.062 0.500
0.500 0.500 0.500
0.698 0.938 0.500
0.774 0.226 0.000
0.938 0.698 0.500
0.306 0.694 0.500
0.694 0.306 0.500
```

=====

Record 12
Li2Ce3Ir7 | PBE | optimized geometry

Final energy ... -7.54 eV/atom
Total moment ... 1.13 μB/f.u.
Formation energy from the elements ... -6.79 eV/f.u.
Volume ... 17.61 Å³/atom

POSCAR file:
```
Li2Ce3Ir7
1.0
2.696 1.557 8.390
-2.696 1.557 8.390
0.000 -3.114 8.390
Li Ce Ir
2 3 7
direct
0.164 0.164 0.164
0.836 0.836 0.836
0.360 0.360 0.360
0.500 0.500 0.500
0.640 0.640 0.640
0.000 0.000 0.000
0.086 0.086 0.576
0.086 0.576 0.086
0.424 0.914 0.914
0.576 0.086 0.086
0.914 0.424 0.914
0.914 0.914 0.424
```